P) The following is a PBE-GGA calculation of a relaxed CdPAu2 crystal, from Alexandria via LeMat-Bulk.

The structure in CIF format:
```
data_CdPAu2
_chemical_formula_sum 'Cd2 P2 Au4'
_cell_length_a 7.919
_cell_length_b 3.212
_cell_length_c 6.313
_cell_angle_alpha 90.00
_cell_angle_beta 104.05
_cell_angle_gamma 90.00
_space_group_name_H-M_alt 'C 1 2/m 1'
_space_group_IT_number 12
loop_
_space_group_symop_operation_xyz
'x,y,z'
'-x,-y,-z'
'-x,y,-z'
'x,-y,z'
'x+1/2,y+1/2,z'
'-x+1/2,-y+1/2,-z'
'-x+1/2,y+1/2,-z'
'x+1/2,-y+1/2,z'
loop_
_atom_site_label
_atom_site_fract_x
_atom_site_fract_y
_atom_site_fract_z
Cd1 0.000 0.000 0.000
P1 0.000 0.500 0.500
Au1 0.244 0.000 0.714
```

Q) The following is a PBE-GGA calculation of a relaxed CdPAu2 crystal, from Alexandria via LeMat-Bulk.

The structure in CIF format:
```
data_CdPAu2
_chemical_formula_sum 'Cd4 P4 Au8'
_cell_length_a 6.694
_cell_length_b 6.694
_cell_length_c 6.694
_cell_angle_alpha 90.00
_cell_angle_beta 90.00
_cell_angle_gamma 90.00
_space_group_name_H-M_alt 'F -4 3 m'
_space_group_IT_number 216
_space_group_name_Hall 'F -4 2 3'
loop_
_atom_site_label
_atom_site_fract_x
_atom_site_fract_y
_atom_site_fract_z
Cd1 0.000 0.000 0.000
P1 0.250 0.250 0.250
Au1 0.000 0.000 0.500
Au2 0.250 0.250 0.750
```

R) The following is a PBE-GGA calculation of a relaxed CdPAu2 crystal, from Alexandria via LeMat-Bulk.

The structure in CIF format:
```
data_CdPAu2
_chemical_formula_sum 'Cd4 P4 Au8'
_cell_length_a 4.994
_cell_length_b 4.994
_cell_length_c 15.077
_cell_angle_alpha 90.00
_cell_angle_beta 90.00
_cell_angle_gamma 90.00
_space_group_name_H-M_alt 'I -4 2 d'
_space_group_IT_number 122
_space_group_name_Hall 'I -4 2bw'
loop_
_atom_site_label
_atom_site_fract_x
_atom_site_fract_y
_atom_site_fract_z
Cd1 0.000 0.000 0.000
P1 0.000 0.000 0.500
Au1 0.156 0.250 0.625
```

S) The following is a PBE-GGA calculation of a relaxed CdPAu2 crystal, from Alexandria via LeMat-Bulk.

The structure in CIF format:
```
data_CdPAu2
_chemical_formula_sum 'Cd2 P2 Au4'
_cell_length_a 4.091
_cell_length_b 4.091
_cell_length_c 8.728
_cell_angle_alpha 90.00
_cell_angle_beta 90.00
_cell_angle_gamma 90.00
_space_group_name_H-M_alt 'I -4 m 2'
_space_group_IT_number 119
_space_group_name_Hall 'I -4 -2'
loop_
_atom_site_label
_atom_site_fract_x
_atom_site_fract_y
_atom_site_fract_z
Cd1 0.000 0.000 0.000
P1 0.000 0.500 0.750
Au1 0.000 0.000 0.500
Au2 0.000 0.500 0.250
```

Which structure is the most stable? The one labeled R).

P) The following is a PBE-GGA calculation of a relaxed CdPAu2 crystal, from Alexandria via LeMat-Bulk.

The structure in CIF format:
```
data_CdPAu2
_chemical_formula_sum 'Cd3 P3 Au6'
_cell_length_a 3.3959
_cell_length_b 3.3959
_cell_length_c 23.5237
_cell_angle_alpha 90.00
_cell_angle_beta 90.00
_cell_angle_gamma 120.00
_space_group_name_H-M_alt 'R 3 m'
_space_group_IT_number 160
_space_group_name_Hall 'R 3 -2"'
loop_
_atom_site_label
_atom_site_fract_x
_atom_site_fract_y
_atom_site_fract_z
Cd1 0.0000 0.0000 0.0000
P1 0.0000 0.0000 0.2416
Au1 0.0000 0.0000 0.5101
Au2 0.0000 0.0000 0.7554
```

Q) The following is a PBE-GGA calculation of a relaxed CdPAu2 crystal, from Alexandria via LeMat-Bulk.

The structure in CIF format:
```
data_CdPAu2
_chemical_formula_sum 'Cd3 P3 Au6'
_cell_length_a 3.2713
_cell_length_b 3.2713
_cell_length_c 24.3297
_cell_angle_alpha 90.00
_cell_angle_beta 90.00
_cell_angle_gamma 120.00
_space_group_name_H-M_alt 'R -3 m'
_space_group_IT_number 166
_space_group_name_Hall '-R 3 2"'
loop_
_atom_site_label
_atom_site_fract_x
_atom_site_fract_y
_atom_site_fract_z
Cd1 0.0000 0.0000 0.0000
P1 0.0000 0.0000 0.5000
Au1 0.0000 0.0000 0.2405
```

Which structure is the most stable? The one labeled Q).

P) The following is a PBE-GGA calculation of a relaxed CdPAu2 crystal, from Alexandria via LeMat-Bulk.

The structure in CIF format:
```
data_CdPAu2
_chemical_formula_sum 'Cd1 P1 Au2'
_cell_length_a 3.515
_cell_length_b 3.667
_cell_length_c 5.716
_cell_angle_alpha 90.00
_cell_angle_beta 90.00
_cell_angle_gamma 90.00
_space_group_name_H-M_alt 'P m m m'
_space_group_IT_number 47
loop_
_space_group_symop_operation_xyz
'x,y,z'
'-x,-y,-z'
'-x,-y,z'
'x,y,-z'
'x,-y,-z'
'-x,y,z'
'-x,y,-z'
'x,-y,z'
loop_
_atom_site_label
_atom_site_fract_x
_atom_site_fract_y
_atom_site_fract_z
Cd1 0.000 0.000 0.000
P1 0.000 0.000 0.500
Au1 0.500 0.500 0.256
```

Q) The following is a PBE-GGA calculation of a relaxed CdPAu2 crystal, from Alexandria via LeMat-Bulk.

The structure in CIF format:
```
data_CdPAu2
_chemical_formula_sum 'Cd1 P1 Au2'
_cell_length_a 2.991
_cell_length_b 4.249
_cell_length_c 5.891
_cell_angle_alpha 90.00
_cell_angle_beta 90.00
_cell_angle_gamma 90.00
_space_group_name_H-M_alt 'P m m m'
_space_group_IT_number 47
loop_
_space_group_symop_operation_xyz
'x,y,z'
'-x,-y,-z'
'-x,-y,z'
'x,y,-z'
'x,-y,-z'
'-x,y,z'
'-x,y,-z'
'x,-y,z'
loop_
_atom_site_label
_atom_site_fract_x
_atom_site_fract_y
_atom_site_fract_z
Cd1 0.000 0.000 0.000
P1 0.500 0.000 0.500
Au1 0.500 0.500 0.248
```

Which structure is the most stable? The one labeled Q).

P) The following is a PBE-GGA calculation of a relaxed CdPAu2 crystal, from Alexandria via LeMat-Bulk.

The structure in CIF format:
```
data_CdPAu2
_chemical_formula_sum 'Cd2 P2 Au4'
_cell_length_a 8.071
_cell_length_b 3.652
_cell_length_c 5.745
_cell_angle_alpha 90.00
_cell_angle_beta 103.24
_cell_angle_gamma 90.00
_space_group_name_H-M_alt 'C 1 m 1'
_space_group_IT_number 8
loop_
_space_group_symop_operation_xyz
'x,y,z'
'x,-y,z'
'x+1/2,y+1/2,z'
'x+1/2,-y+1/2,z'
loop_
_atom_site_label
_atom_site_fract_x
_atom_site_fract_y
_atom_site_fract_z
Cd1 0.000 0.000 0.000
P1 0.336 0.000 0.566
Au1 0.151 0.500 0.727
Au2 0.248 0.500 0.263
```

Q) The following is a PBE-GGA calculation of a relaxed CdPAu2 crystal, from Alexandria via LeMat-Bulk.

The structure in CIF format:
```
data_CdPAu2
_chemical_formula_sum 'Cd1 P1 Au2'
_cell_length_a 3.003
_cell_length_b 4.887
_cell_length_c 5.142
_cell_angle_alpha 90.00
_cell_angle_beta 90.00
_cell_angle_gamma 90.00
_space_group_name_H-M_alt 'P m m 2'
_space_group_IT_number 25
loop_
_space_group_symop_operation_xyz
'x,y,z'
'-x,-y,z'
'-x,y,z'
'x,-y,z'
loop_
_atom_site_label
_atom_site_fract_x
_atom_site_fract_y
_atom_site_fract_z
Cd1 0.000 0.000 0.000
P1 0.500 0.500 0.367
Au1 0.500 0.000 0.495
Au2 0.500 0.500 0.867
```

R) The following is a PBE-GGA calculation of a relaxed CdPAu2 crystal, from Alexandria via LeMat-Bulk.

The structure in CIF format:
```
data_CdPAu2
_chemical_formula_sum 'Cd2 P2 Au4'
_cell_length_a 5.730
_cell_length_b 10.092
_cell_length_c 3.012
_cell_angle_alpha 90.00
_cell_angle_beta 120.62
_cell_angle_gamma 90.00
_space_group_name_H-M_alt 'C 1 2/m 1'
_space_group_IT_number 12
loop_
_space_group_symop_operation_xyz
'x,y,z'
'-x,-y,-z'
'-x,y,-z'
'x,-y,z'
'x+1/2,y+1/2,z'
'-x+1/2,-y+1/2,-z'
'-x+1/2,y+1/2,-z'
'x+1/2,-y+1/2,z'
loop_
_atom_site_label
_atom_site_fract_x
_atom_site_fract_y
_atom_site_fract_z
Cd1 0.000 0.000 0.000
P1 0.000 0.500 0.000
Au1 0.250 0.250 0.000
```

S) The following is a PBE-GGA calculation of a relaxed CdPAu2 crystal, from Alexandria via LeMat-Bulk.

The structure in CIF format:
```
data_CdPAu2
_chemical_formula_sum 'Cd2 P2 Au4'
_cell_length_a 4.089
_cell_length_b 4.089
_cell_length_c 8.761
_cell_angle_alpha 90.00
_cell_angle_beta 90.00
_cell_angle_gamma 90.00
_space_group_name_H-M_alt 'I 4/m m m'
_space_group_IT_number 139
_space_group_name_Hall '-I 4 2'
loop_
_atom_site_label
_atom_site_fract_x
_atom_site_fract_y
_atom_site_fract_z
Cd1 0.000 0.000 0.000
P1 0.000 0.000 0.500
Au1 0.000 0.500 0.250
```

Which structure is the most stable? The one labeled P).